Crystalline Al2BrO at its relaxed geometry. Source: Alexandria via LeMat-Bulk, functional PBE-GGA. Values from VASP.

Quantum ESPRESSO input file:
```
&SYSTEM
  ibrav = 0, nat = 4, ntyp = 3
/
ATOMIC_SPECIES
O 16.00 O.upf
Al 26.98 Al.upf
Br 79.90 Br.upf
CELL_PARAMETERS angstrom
4.120 -1.809 0.789
0.385 -4.422 1.077
1.819 -2.931 -2.995
ATOMIC_POSITIONS crystal
O 0.000 0.000 0.000
Al 0.250 0.250 0.250
Al 0.750 0.750 0.750
Br 0.500 0.500 0.500
```

Energy relative to the lowest polymorph listed for this composition ... 0.8918 eV per atom
Crystal system ... cubic
Raw formation energy ... 0.15 eV per atom

---

Crystalline SmP2Pd5 at its relaxed geometry. Source: Alexandria via LeMat-Bulk, functional PBE-GGA. Values from VASP.

Quantum ESPRESSO input file:
```
&SYSTEM
  ibrav = 0, nat = 8, ntyp = 3
/
ATOMIC_SPECIES
Sm 150.36 Sm.upf
P 30.97 P.upf
Pd 106.42 Pd.upf
CELL_PARAMETERS angstrom
4.095 0.000 0.000
2.047 5.825 0.259
2.047 1.325 5.678
ATOMIC_POSITIONS crystal
Sm 0.000 0.000 0.000
P 0.749 0.751 0.751
P 0.251 0.249 0.249
Pd 0.000 0.500 0.500
Pd 0.654 0.544 0.148
Pd 0.346 0.456 0.852
Pd 0.346 0.852 0.456
Pd 0.654 0.148 0.544
```

Crystal system ... orthorhombic
Formation energy ... -741 meV per atom

---

Number 1: DOS(E_F) 2.57 states/eV per cell, E -3.381 eV per atom. Number 2: DOS(E_F) 3.46 states/eV per cell, E -5.929 eV per atom.